1.
Below is a relaxed HgTePd3 crystal, with properties calculated at the PBEsol level.

Values from the calculation:
DOS(E_F) ... 3.75 states/eV per cell
Energy ... -3.552 eV per atom
Total magnetic moment ... 0.0000 μB per atom

Cell lengths 4.9172, 4.9172, 4.9172 Å; angles 90.00, 90.00, 90.00 degrees
Closest atoms and distances in Å follow each position.
Sites, in units of the cell vectors:
Hg: 0.0000 0.0000 0.0000  6 Pd 2.46
Te: 0.5000 0.5000 0.5000  12 Pd 3.48
Pd: 0.0000 0.0000 0.5000  2 Hg 2.46
Pd: 0.0000 0.5000 0.0000  2 Hg 2.46
Pd: 0.5000 0.0000 0.0000  2 Hg 2.46

2.
Below is a relaxed HgTe2Pd crystal, with properties calculated at the PBEsol level.

Values from the calculation:
DOS(E_F) ... 2.20 states/eV per cell
Energy ... -3.530 eV per atom
Total magnetic moment ... 0.0000 μB per atom

Cell lengths 8.6314, 8.6314, 8.6314 Å; angles 27.21, 27.21, 27.21 degrees
Closest atoms and distances in Å follow each position.
Sites, in units of the cell vectors:
Hg: 0.0000 0.0000 0.0000  2 Te 2.82
Te: 0.1131 0.1131 0.1131  3 Pd 2.70, 1 Hg 2.82
Te: 0.8869 0.8869 0.8869  3 Pd 2.70, 1 Hg 2.82
Pd: 0.5000 0.5000 0.5000  6 Te 2.70

3.
Below is a relaxed TiHg2Pd crystal, with properties calculated at the PBEsol level.

Values from the calculation:
DOS(E_F) ... 2.01 states/eV per cell
Energy ... -4.074 eV per atom
Total magnetic moment ... 0.0001 μB per atom

Cell lengths 4.6006, 4.6006, 4.6006 Å; angles 60.00, 60.00, 60.00 degrees
Closest atoms and distances in Å follow each position.
Sites, in units of the cell vectors:
Ti: 0.0000 0.0000 0.0000  8 Hg 2.82
Hg: 0.2500 0.2500 0.2500  4 Pd 2.82, 4 Ti 2.82
Hg: 0.7500 0.7500 0.7500  4 Pd 2.82, 4 Ti 2.82
Pd: 0.5000 0.5000 0.5000  8 Hg 2.82

4.
Below is a relaxed Tl2Hg2Pd crystal, with properties calculated at the PBEsol level.

Values from the calculation:
DOS(E_F) ... 2.01 states/eV per cell
Energy ... -2.279 eV per atom
Total magnetic moment ... 0.0000 μB per atom

Cell lengths 8.8231, 8.8231, 8.8231 Å; angles 154.83, 154.83, 35.90 degrees
Closest atoms and distances in Å follow each position.
Sites, in units of the cell vectors:
Tl: 0.0872 0.0872 0.0000  1 Tl 2.93, 4 Pd 3.09
Tl: 0.9128 0.9128 0.0000  1 Tl 2.93, 4 Pd 3.09
Hg: 0.2500 0.7500 0.5000  4 Hg 2.72
Hg: 0.7500 0.2500 0.5000  4 Hg 2.72
Pd: 0.5000 0.5000 0.0000  8 Tl 3.09

5.
Below is a relaxed Y2HgPd2 crystal, with properties calculated at the PBEsol level.

Values from the calculation:
DOS(E_F) ... 2.12 states/eV per cell
Energy ... -5.815 eV per atom
Total magnetic moment ... 0.0000 μB per atom

Cell lengths 8.0299, 8.0299, 8.0299 Å; angles 152.24, 152.24, 39.67 degrees
Closest atoms and distances in Å follow each position.
Sites, in units of the cell vectors:
Y: 0.1145 0.1145 0.0000  4 Pd 2.81
Y: 0.8855 0.8855 0.0000  4 Pd 2.81
Hg: 0.5000 0.5000 0.0000  8 Y 3.23
Pd: 0.2500 0.7500 0.5000  4 Pd 2.72, 4 Y 2.81
Pd: 0.7500 0.2500 0.5000  4 Pd 2.72, 4 Y 2.81

6.
Below is a relaxed Zn3HgPd crystal, with properties calculated at the PBEsol level.

Values from the calculation:
DOS(E_F) ... 2.23 states/eV per cell
Energy ... -1.508 eV per atom
Total magnetic moment ... 0.0000 μB per atom

Cell lengths 4.8012, 4.8012, 4.8012 Å; angles 90.00, 90.00, 90.00 degrees
Closest atoms and distances in Å follow each position.
Sites, in units of the cell vectors:
Zn: 0.0000 0.0000 0.5000  2 Hg 2.40
Zn: 0.0000 0.5000 0.0000  2 Hg 2.40
Zn: 0.5000 0.0000 0.0000  2 Hg 2.40
Hg: 0.0000 0.0000 0.0000  6 Zn 2.40
Pd: 0.5000 0.5000 0.5000  12 Zn 3.39

7.
Below is a relaxed PmPrHg2 crystal, with properties calculated at the PBEsol level.

Values from the calculation:
DOS(E_F) ... 4.53 states/eV per cell
Energy ... -3.409 eV per atom
Total magnetic moment ... 0.1925 μB per atom

Cell lengths 5.3211, 5.3211, 5.3211 Å; angles 60.00, 60.00, 60.00 degrees
Closest atoms and distances in Å follow each position.
Sites, in units of the cell vectors:
Pm: 0.0000 0.0000 0.0000  8 Hg 3.26
Pr: 0.5000 0.5000 0.5000  8 Hg 3.26
Hg: 0.2500 0.2500 0.2500  4 Pr 3.26, 4 Pm 3.26
Hg: 0.7500 0.7500 0.7500  4 Pr 3.26, 4 Pm 3.26

8.
Below is a relaxed PmHgRh2 crystal, with properties calculated at the PBEsol level.

Values from the calculation:
DOS(E_F) ... 3.58 states/eV per cell
Energy ... -5.887 eV per atom
Total magnetic moment ... 0.0000 μB per atom

Cell lengths 4.6825, 4.6825, 4.6825 Å; angles 60.00, 60.00, 60.00 degrees
Closest atoms and distances in Å follow each position.
Sites, in units of the cell vectors:
Pm: 0.0000 0.0000 0.0000  8 Rh 2.87
Hg: 0.5000 0.5000 0.5000  8 Rh 2.87
Rh: 0.2500 0.2500 0.2500  4 Hg 2.87, 4 Pm 2.87
Rh: 0.7500 0.7500 0.7500  4 Hg 2.87, 4 Pm 2.87

9.
Below is a relaxed Pm2SiHg crystal, with properties calculated at the PBEsol level.

Values from the calculation:
DOS(E_F) ... 2.40 states/eV per cell
Energy ... -4.691 eV per atom
Total magnetic moment ... 0.0000 μB per atom

Cell lengths 5.1548, 5.1548, 5.1548 Å; angles 60.00, 60.00, 60.00 degrees
Closest atoms and distances in Å follow each position.
Sites, in units of the cell vectors:
Pm: 0.2500 0.2500 0.2500  4 Hg 3.16, 4 Si 3.16
Pm: 0.7500 0.7500 0.7500  4 Hg 3.16, 4 Si 3.16
Si: 0.0000 0.0000 0.0000  8 Pm 3.16
Hg: 0.5000 0.5000 0.5000  8 Pm 3.16

10.
Below is a relaxed PmSmHg2 crystal, with properties calculated at the PBEsol level.

Values from the calculation:
DOS(E_F) ... 4.83 states/eV per cell
Energy ... -3.393 eV per atom
Total magnetic moment ... 0.1911 μB per atom

Cell lengths 5.2728, 5.2728, 5.2728 Å; angles 60.00, 60.00, 60.00 degrees
Closest atoms and distances in Å follow each position.
Sites, in units of the cell vectors:
Pm: 0.0000 0.0000 0.0000  8 Hg 3.23
Sm: 0.5000 0.5000 0.5000  8 Hg 3.23
Hg: 0.2500 0.2500 0.2500  4 Pm 3.23, 4 Sm 3.23
Hg: 0.7500 0.7500 0.7500  4 Pm 3.23, 4 Sm 3.23

11.
Below is a relaxed Pm2ZnHg crystal, with properties calculated at the PBEsol level.

Values from the calculation:
DOS(E_F) ... 4.88 states/eV per cell
Energy ... -3.516 eV per atom
Total magnetic moment ... 0.1183 μB per atom

Cell lengths 5.1953, 5.1953, 5.1953 Å; angles 60.00, 60.00, 60.00 degrees
Closest atoms and distances in Å follow each position.
Sites, in units of the cell vectors:
Pm: 0.2500 0.2500 0.2500  4 Hg 3.18, 4 Zn 3.18
Pm: 0.7500 0.7500 0.7500  4 Hg 3.18, 4 Zn 3.18
Zn: 0.0000 0.0000 0.0000  8 Pm 3.18
Hg: 0.5000 0.5000 0.5000  8 Pm 3.18

12.
Below is a relaxed PmZnHg2 crystal, with properties calculated at the PBEsol level.

Values from the calculation:
DOS(E_F) ... 1.10 states/eV per cell
Energy ... -2.366 eV per atom
Total magnetic moment ... 0.0000 μB per atom

Cell lengths 4.9709, 4.9709, 4.9709 Å; angles 60.00, 60.00, 60.00 degrees
Closest atoms and distances in Å follow each position.
Sites, in units of the cell vectors:
Pm: 0.0000 0.0000 0.0000  8 Hg 3.04
Zn: 0.5000 0.5000 0.5000  8 Hg 3.04
Hg: 0.2500 0.2500 0.2500  4 Zn 3.04, 4 Pm 3.04
Hg: 0.7500 0.7500 0.7500  4 Zn 3.04, 4 Pm 3.04

13.
Below is a relaxed PmZn2Hg crystal, with properties calculated at the PBEsol level.

Values from the calculation:
DOS(E_F) ... 1.22 states/eV per cell
Energy ... -2.562 eV per atom
Total magnetic moment ... 0.0000 μB per atom

Cell lengths 4.7879, 4.7879, 4.7879 Å; angles 60.00, 60.00, 60.00 degrees
Closest atoms and distances in Å follow each position.
Sites, in units of the cell vectors:
Pm: 0.0000 0.0000 0.0000  8 Zn 2.93
Zn: 0.2500 0.2500 0.2500  4 Hg 2.93, 4 Pm 2.93
Zn: 0.7500 0.7500 0.7500  4 Hg 2.93, 4 Pm 2.93
Hg: 0.5000 0.5000 0.5000  8 Zn 2.93

14.
Below is a relaxed PrHg3 crystal, with properties calculated at the PBEsol level.

Values from the calculation:
DOS(E_F) ... 4.48 states/eV per cell
Energy ... -2.218 eV per atom
Total magnetic moment ... 0.0000 μB per atom

Cell lengths 6.7066, 6.7066, 4.9375 Å; angles 90.00, 90.00, 120.00 degrees
Closest atoms and distances in Å follow each position.
Sites, in units of the cell vectors:
Pr: 0.3333 0.6667 0.2500  12 Hg 3.18-3.35
Pr: 0.6667 0.3333 0.7500  12 Hg 3.18-3.35
Hg: 0.1611 0.3222 0.7500  8 Hg 3.10-3.46, 4 Pr 3.18-3.35
Hg: 0.1611 0.8389 0.7500  8 Hg 3.10-3.46, 4 Pr 3.18-3.35
Hg: 0.3222 0.1611 0.2500  8 Hg 3.10-3.46, 4 Pr 3.18-3.35
Hg: 0.6778 0.8389 0.7500  8 Hg 3.10-3.46, 4 Pr 3.18-3.35
Hg: 0.8389 0.1611 0.2500  8 Hg 3.10-3.46, 4 Pr 3.18-3.35
Hg: 0.8389 0.6778 0.2500  8 Hg 3.10-3.46, 4 Pr 3.18-3.35